Density functional theory data (PBE) for ZrSbOs2 after structural relaxation.

Geometry as POSCAR:
```
ZrSbOs2
1.0
-1.507 4.945 -1.554
-2.661 2.886 3.704
4.615 -2.542 -1.170
Sb Os Zr
1 2 1
Cartesian
0.512 3.159 -0.824
-2.147 4.033 1.107
-4.105 7.713 2.118
-0.065 2.130 1.805
```

Summary:
The space-group type is Immm. The magnetic moment is 0.00 μB/f.u. The calculation puts the calculated density at 14.03 g/cm³. As for the crystal system: orthorhombic. As for the uncorrected formation energy: 0.202 eV per atom.

=====

Density functional theory data (PBE) for Zr2SbOs after structural relaxation.

Geometry as POSCAR:
```
Zr2SbOs
1.0
-4.534 1.993 -0.279
-0.623 -4.728 1.367
0.198 0.903 3.217
Zr Os Sb
2 1 1
Cartesian
-2.579 -1.367 0.544
0.000 0.000 0.000
-2.168 1.448 1.469
-0.212 -1.912 2.292
```

Summary:
The space-group type is Cmmm. The magnetic moment is 0.00 μB/f.u. The calculation puts the calculated density at 10.39 g/cm³. As for the crystal system: orthorhombic. As for the uncorrected formation energy: -0.312 eV per atom.